Entry 1:
{"formula": "BePCl2", "functional": "GGA-PBEsol", "state": "relaxed", "lattice_angstrom": [[4.3983, 0.0000, 0.0000], [0.0000, 4.3983, 0.0000], [0.0000, 0.0000, 3.2653]], "species": ["Be", "P", "Cl", "Cl"], "fractional_positions": [[0.0000, 0.0000, 0.0000], [0.5000, 0.5000, 0.0000], [0.0000, 0.5000, 0.5000], [0.5000, 0.0000, 0.5000]], "magnetic_moment_mub_per_cell": 0.00, "e_form_raw_ev_per_atom": 0.7181, "polymorph_energy_ev_per_atom": 0.772, "sg": "P4/mmm"}


Entry 2:
{"formula": "BePCl4", "functional": "GGA-PBEsol", "state": "relaxed", "lattice_angstrom": [[0.0000, 3.9106, 3.9106], [3.9106, 0.0000, 3.9106], [3.9106, 3.9106, 0.0000]], "species": ["Be", "P", "Cl", "Cl", "Cl", "Cl"], "fractional_positions": [[0.0000, 0.0000, 0.0000], [0.7500, 0.7500, 0.7500], [0.3744, 0.3744, 0.3744], [0.3744, 0.3744, 0.8768], [0.3744, 0.8768, 0.3744], [0.8768, 0.3744, 0.3744]], "magnetic_moment_mub_per_cell": 0.00, "e_form_raw_ev_per_atom": 1.2508, "sg": "F-43m"}


Entry 3:
{"formula": "BePCl", "functional": "GGA-PBEsol", "state": "relaxed", "lattice_angstrom": [[-1.3911, 1.3911, 6.4506], [1.3911, -1.3911, 6.4506], [1.3911, 1.3911, -6.4506]], "species": ["Be", "P", "Cl"], "fractional_positions": [[0.0000, 0.0000, 0.0000], [0.3714, 0.3714, 0.0000], [0.6042, 0.6042, 0.0000]], "magnetic_moment_mub_per_cell": 0.00, "e_form_raw_ev_per_atom": 0.1949, "polymorph_energy_ev_per_atom": 0.000, "sg": "I4mm"}


Entry 4:
{"formula": "BePCl2", "functional": "GGA-PBEsol", "state": "relaxed", "lattice_angstrom": [[2.8290, 0.0000, 0.0000], [0.0000, 2.8290, 0.0000], [0.0000, 0.0000, 10.3350]], "species": ["Be", "P", "Cl", "Cl"], "fractional_positions": [[0.0000, 0.0000, 0.0000], [0.0000, 0.0000, 0.5000], [0.5000, 0.5000, 0.1361], [0.5000, 0.5000, 0.8639]], "magnetic_moment_mub_per_cell": 0.00, "e_form_raw_ev_per_atom": 0.2087, "polymorph_energy_ev_per_atom": 0.263, "sg": "P4/mmm"}